(1)
Entry from Alexandria: LiRePS2 after structural relaxation (PBE-GGA).

Results
For the energy relative to the elements, uncorrected, the calculation gives 0.14 eV/atom. The value obtained for the total energy is -5.47 eV per atom.

abc: 4.738 4.738 4.616
angles: 90.00 90.00 90.00
Sites, in units of the cell vectors:
Li (0.000, 0.000, 0.000)
Re (0.500, 0.500, 0.500)
P (0.500, 0.500, 0.000)
S (0.000, 0.500, 0.500)
S (0.500, 0.000, 0.500)


(2)
Entry from Alexandria: LaGeAs3 after structural relaxation (PBE-GGA).

Results
The value obtained for the total energy is -3.92 eV per atom. The calculation puts the formation energy from the elements at 0.78 eV per atom.

abc: 5.582 5.582 5.582
angles: 90.00 90.00 90.00
Sites, in units of the cell vectors:
La (0.000, 0.000, 0.000)
Ge (0.500, 0.500, 0.500)
As (0.000, 0.000, 0.500)
As (0.000, 0.500, 0.000)
As (0.500, 0.000, 0.000)


Table of magnetization (μB/f.u.), in record order: 0.0 0.0
Table of relative energy among the computed polymorphs (eV/atom), in record order: 0.000 0.911